Crystalline HoEr2Cu4 at its relaxed geometry. Source: Alexandria via LeMat-Bulk, functional PBE.

abc: 6.7335 6.7335 6.7335
angles: 135.87 135.87 64.19
With the nearest neighbours (Å) after each atom.
Sites, in units of the cell vectors:
Ho 0.0000 0.0000 0.0000  8 Cu 2.87
Er 0.2859 0.2859 0.0000  4 Cu 2.75
Er 0.7141 0.7141 0.0000  4 Cu 2.75
Cu 0.1195 0.6195 0.5000  2 Cu 2.73-2.98, 2 Er 2.75, 2 Ho 2.87
Cu 0.3805 0.8805 0.5000  2 Cu 2.73-2.98, 2 Er 2.75, 2 Ho 2.87
Cu 0.6195 0.1195 0.5000  2 Cu 2.73-2.98, 2 Er 2.75, 2 Ho 2.87
Cu 0.8805 0.3805 0.5000  2 Cu 2.73-2.98, 2 Er 2.75, 2 Ho 2.87

DFT formation energy = -0.024 eV/atom
space-group type = I4/mmm (139)